Entry 1:
Density functional theory data (GGA-PBEsol) for Sc3Rh5 after structural relaxation.

Values from the calculation:
Energy of formation from the pure elements, eV/atom: -0.7480
Crystal system: orthorhombic
N(E_F), states/eV per cell: 6.0

a = 4.172 Å, b = 5.451 Å, c = 5.451 Å
α = 99.53°, β = 90.00°, γ = 90.00°
Sites, in units of the cell vectors:
Rh 0.500 0.723 0.723
Rh 0.000 0.500 0.000
Rh 0.500 0.277 0.277
Rh 0.000 0.000 0.500
Rh 0.000 0.000 0.000
Sc 0.500 0.785 0.215
Sc 0.500 0.215 0.785
Sc 0.000 0.500 0.500



Entry 2:
Density functional theory data (GGA-PBEsol) for Sc5Rh after structural relaxation.

Values from the calculation:
Energy of formation from the pure elements, eV/atom: 0.3023
Crystal system: cubic
N(E_F), states/eV per cell: 10.3
Excess energy over the best structure of this formula in the dataset, meV/atom: 614

a = 5.610 Å, b = 5.610 Å, c = 5.610 Å
α = 60.00°, β = 60.00°, γ = 60.00°
Sites, in units of the cell vectors:
Rh 0.000 0.000 0.000
Sc 0.374 0.374 0.374
Sc 0.374 0.877 0.374
Sc 0.750 0.750 0.750
Sc 0.877 0.374 0.374
Sc 0.374 0.374 0.877



Entry 3:
Density functional theory data (GGA-PBEsol) for Sc3Rh after structural relaxation.

Values from the calculation:
Energy of formation from the pure elements, eV/atom: -0.4333
Crystal system: tetragonal
N(E_F), states/eV per cell: 5.9

a = 3.205 Å, b = 3.205 Å, c = 7.807 Å
α = 90.00°, β = 90.00°, γ = 90.00°
Site moments in Bohr magnetons follow the coordinates.
Sites, in units of the cell vectors:
Sc 0.500 0.500 0.200  0.03
Sc 0.500 0.500 0.800  0.03
Sc 0.000 0.000 0.500  0.09
Rh 0.000 0.000 0.000  0.01



Entry 4:
Density functional theory data (GGA-PBEsol) for Sc3Rh after structural relaxation.

Values from the calculation:
Energy of formation from the pure elements, eV/atom: -0.1979
Crystal system: trigonal
N(E_F), states/eV per cell: 5.7

a = 3.033 Å, b = 5.446 Å, c = 5.446 Å
α = 116.64°, β = 100.70°, γ = 100.70°
Sites, in units of the cell vectors:
Sc 0.000 0.500 0.500
Sc 0.500 0.500 0.000
Sc 0.500 0.000 0.500
Rh 0.000 0.000 0.000



Entry 5:
Density functional theory data (GGA-PBEsol) for ScRh4 after structural relaxation.

Values from the calculation:
Energy of formation from the pure elements, eV/atom: 0.8030
Crystal system: cubic
N(E_F), states/eV per cell: 8.2
Excess energy over the best structure of this formula in the dataset, meV/atom: 1206

a = 4.828 Å, b = 4.828 Å, c = 4.828 Å
α = 109.47°, β = 109.47°, γ = 109.47°
Sites, in units of the cell vectors:
Rh 0.000 0.000 0.500
Rh 0.500 0.000 0.000
Rh 0.000 0.500 0.000
Rh 0.500 0.500 0.500
Sc 0.000 0.000 0.000



Entry 6:
Density functional theory data (GGA-PBEsol) for Sc3Rh after structural relaxation.

Values from the calculation:
Energy of formation from the pure elements, eV/atom: -0.5051
Crystal system: orthorhombic
N(E_F), states/eV per cell: 3.9

a = 3.343 Å, b = 4.797 Å, c = 5.696 Å
α = 114.91°, β = 107.06°, γ = 90.00°
Sites, in units of the cell vectors:
Rh 0.000 0.500 0.000
Sc 0.292 0.292 0.585
Sc 0.500 0.000 0.000
Sc 0.708 0.708 0.415



Entry 7:
Density functional theory data (GGA-PBEsol) for Sc3Rh after structural relaxation.

Values from the calculation:
Energy of formation from the pure elements, eV/atom: -0.5173
Crystal system: orthorhombic
N(E_F), states/eV per cell: 14.9

a = 5.986 Å, b = 6.546 Å, c = 8.376 Å
α = 90.00°, β = 90.00°, γ = 90.00°
Sites, in units of the cell vectors:
Rh 0.471 0.403 0.250
Rh 0.529 0.597 0.750
Rh 0.971 0.097 0.750
Rh 0.029 0.903 0.250
Sc 0.103 0.471 0.750
Sc 0.682 0.316 0.945
Sc 0.897 0.529 0.250
Sc 0.182 0.184 0.445
Sc 0.182 0.184 0.055
Sc 0.318 0.684 0.055
Sc 0.818 0.816 0.945
Sc 0.682 0.316 0.555
Sc 0.397 0.971 0.750
Sc 0.318 0.684 0.445
Sc 0.818 0.816 0.555
Sc 0.603 0.029 0.250



Entry 8:
Density functional theory data (GGA-PBEsol) for ScRh4 after structural relaxation.

Values from the calculation:
Energy of formation from the pure elements, eV/atom: -0.4032
Crystal system: tetragonal
N(E_F), states/eV per cell: 5.3
Excess energy over the best structure of this formula in the dataset, meV/atom: 0

a = 3.891 Å, b = 4.717 Å, c = 4.717 Å
α = 80.21°, β = 65.64°, γ = 65.64°
Sites, in units of the cell vectors:
Sc 0.000 0.000 0.000
Rh 0.808 0.791 0.593
Rh 0.192 0.209 0.407
Rh 0.599 0.593 0.209
Rh 0.401 0.407 0.791